1.
Entry from the Alexandria database: crystalline PuCdSnN at its relaxed geometry (PBE-GGA).

The structure in POSCAR format:
```
PuCdSnN
1.0
-2.7005 1.7853 -0.4193
-1.5752 -2.6402 -1.0971
-0.2072 -1.3336 8.3631
Pu Cd Sn N
1 1 1 1
direct
0.6384 0.6384 0.2768
0.3021 0.3021 0.6042
0.9643 0.9643 0.9287
0.1073 0.1073 0.2146
```

Properties
- magnetization (μB/f.u.) = 5.1
- calculated total energy (eV for the cell shown) = -29.06

2.
Entry from the Alexandria database: crystalline RbCd2N at its relaxed geometry (PBE-GGA).

The structure in POSCAR format:
```
RbCd2N
1.0
7.2167 0.0000 0.0000
0.0000 7.2167 0.0000
3.6084 3.6084 5.1038
N Rb Cd
2 2 4
direct
0.5000 0.5000 0.0000
0.2500 0.7500 0.5000
0.0000 0.0000 0.0000
0.7500 0.2500 0.5000
0.3773 0.1250 0.2500
0.3727 0.6250 0.2500
0.3750 0.6227 0.7500
0.8750 0.6273 0.7500
```

Properties
- magnetization (μB/f.u.) = 0.0
- calculated total energy (eV for the cell shown) = -18.75

3.
Entry from the Alexandria database: crystalline Rb3CdN at its relaxed geometry (PBE-GGA).

The structure in POSCAR format:
```
Rb3CdN
1.0
-1.2899 2.5263 5.2075
-3.2309 -4.7409 1.4996
4.8022 -2.5111 2.4077
N Rb Cd
1 3 1
direct
0.0000 0.0000 0.0000
0.0000 0.5000 0.0000
0.0000 0.0000 0.5000
0.5000 0.0000 0.0000
0.5000 0.5000 0.5000
```

Properties
- magnetization (μB/f.u.) = 1.3
- offset from the most stable computed form (eV/atom) = 0.0000
- calculated total energy (eV for the cell shown) = -9.89

4.
Entry from the Alexandria database: crystalline RbCdN2 at its relaxed geometry (PBE-GGA).

The structure in POSCAR format:
```
RbCdN2
1.0
6.2726 5.0235 0.9315
6.8444 2.1055 3.7643
7.9610 1.4335 -0.1304
N Rb Cd
2 1 1
direct
0.9120 0.9120 0.9120
0.0880 0.0880 0.0880
0.5000 0.5000 0.5000
0.0000 0.0000 0.0000
```

Properties
- magnetization (μB/f.u.) = 3.0
- calculated total energy (eV for the cell shown) = -12.91